1.
DFT (GGA-PBE) results for crystalline Ag4TeCl3 at its relaxed geometry.

Cell: 8.2288 7.7991 7.1816 Å, 90.00 90.00 90.00°
Space group Pmn2_1 (No. 31)
Asymmetric unit:
Ag 0.0000 0.1603 0.0000 x2
Ag 0.0000 0.8145 0.5075 x2
Ag 0.2418 0.3276 0.5134 x4
Te 0.0000 0.1363 0.3735 x2
Cl 0.0000 0.8271 0.8786 x2
Cl 0.2450 0.3565 0.8793 x4

Formation energy (no corrections) ... -258 meV/atom
Final energy ... -44.3 eV for the cell shown
Magnetization ... 0.0 μB/f.u.


2.
DFT (GGA-PBE) results for crystalline AgTeCl3 at its relaxed geometry.

Cell: 7.7657 4.2748 9.1531 Å, 90.00 111.96 90.00°
Space group P2_1 (No. 4)
Asymmetric unit:
Ag 0.2058 0.0000 0.4678 x2
Te 0.4533 0.9900 0.1063 x2
Cl 0.1401 0.9840 0.9250 x2
Cl 0.1930 0.5235 0.6324 x2
Cl 0.3436 0.3193 0.3020 x2

Formation energy (no corrections) ... -422 meV/atom
Final energy ... -27.3 eV for the cell shown
Magnetization ... 0.0 μB/f.u.


3.
DFT (GGA-PBE) results for crystalline AgTe2Cl6 at its relaxed geometry.

Cell: 14.3171 15.3791 5.8112 Å, 90.00 92.69 90.00°
Space group C2/c (No. 15)
Asymmetric unit:
Ag 0.0000 0.1774 0.2500 x4
Te 0.2478 0.1614 0.7168 x8
Cl 0.1144 0.0850 0.5114 x8
Cl 0.1190 0.2601 0.0111 x8
Cl 0.1362 0.4109 0.4890 x8

Formation energy (no corrections) ... -457 meV/atom
Final energy ... -97.3 eV for the cell shown
Magnetization ... 1.0 μB/f.u.


4.
DFT (GGA-PBE) results for crystalline Ag4TeCl at its relaxed geometry.

Cell: 8.0005 8.0005 8.0005 Å, 90.00 90.00 90.00°
Space group F-43m (No. 216)
Asymmetric unit:
Ag 0.1251 0.1251 0.1251 x16
Te 0.0000 0.0000 0.5000 x4
Cl 0.2500 0.2500 0.7500 x4

Formation energy (no corrections) ... 125 meV/atom
Final energy ... -62.6 eV for the cell shown
Magnetization ... 0.0 μB/f.u.


5.
DFT (GGA-PBE) results for crystalline AgTe4Cl at its relaxed geometry.

Cell: 8.9186 8.9186 8.9186 Å, 90.00 90.00 90.00°
Space group F-43m (No. 216)
Asymmetric unit:
Ag 0.0000 0.0000 0.0000 x4
Te 0.1244 0.1244 0.3756 x16
Cl 0.2500 0.2500 0.7500 x4

Formation energy (no corrections) ... 304 meV/atom
Final energy ... -61.8 eV for the cell shown
Magnetization ... 0.0 μB/f.u.


6.
DFT (GGA-PBE) results for crystalline Ag6TeCl12 at its relaxed geometry.

Cell: 11.5231 11.5231 13.3150 Å, 90.00 90.00 120.00°
Space group R-3 (No. 148, hexagonal axes)
Asymmetric unit:
Ag 0.0152 0.2519 0.1442 x18
Te 0.0000 0.0000 0.5000 x3
Cl 0.0085 0.1936 0.8723 x18
Cl 0.0078 0.8241 0.6147 x18

Formation energy (no corrections) ... -446 meV/atom
Final energy ... -152.6 eV for the cell shown
Magnetization ... 0.0 μB/f.u.


7.
DFT (GGA-PBE) results for crystalline AgTe2Cl8 at its relaxed geometry.

Cell: 8.3850 8.3850 5.5635 Å, 90.00 90.00 120.00°
Space group P-3 (No. 147)
Asymmetric unit:
Ag 0.0000 0.0000 0.0000 x1
Te 0.3333 0.6667 0.7677 x2
Cl 0.1618 0.8367 0.7461 x6
Cl 0.3333 0.6667 0.2692 x2

Formation energy (no corrections) ... -395 meV/atom
Final energy ... -28.3 eV for the cell shown
Magnetization ... 0.0 μB/f.u.


8.
DFT (GGA-PBE) results for crystalline AgTeCl3 at its relaxed geometry.

Cell: 4.2851 8.4074 8.9017 Å, 65.67 89.97 75.25°
Space group P1 (No. 1)
Asymmetric unit:
Ag 0.0000 0.0000 0.0000 x1
Ag 0.2359 0.5354 0.9090 x1
Te 0.4031 0.1961 0.5826 x1
Te 0.7550 0.4916 0.4151 x1
Cl 0.0644 0.8836 0.7674 x1
Cl 0.1256 0.7601 0.2941 x1
Cl 0.3959 0.2111 0.9087 x1
Cl 0.4511 0.1032 0.3659 x1
Cl 0.7205 0.5629 0.6596 x1
Cl 0.7689 0.4676 0.1297 x1

Formation energy (no corrections) ... -444 meV/atom
Final energy ... -27.5 eV for the cell shown
Magnetization ... 0.0 μB/f.u.


9.
DFT (GGA-PBE) results for crystalline Ag7Te2Cl3 at its relaxed geometry.

Cell: 25.2548 6.7141 6.9932 Å, 90.00 90.00 90.00°
Space group Cmc2_1 (No. 36)
Asymmetric unit:
Ag 0.0000 0.2232 0.0000 x4
Ag 0.0774 0.2842 0.6732 x8
Ag 0.1368 0.0380 0.3522 x8
Ag 0.1883 0.3524 0.7960 x8
Te 0.1059 0.2997 0.0610 x8
Cl 0.0000 0.2019 0.4556 x4
Cl 0.2171 0.2802 0.4456 x8

Formation energy (no corrections) ... -242 meV/atom
Final energy ... -138.8 eV for the cell shown
Magnetization ... 0.0 μB/f.u.


10.
DFT (GGA-PBE) results for crystalline Ag3TeCl9 at its relaxed geometry.

Cell: 18.4859 9.9772 13.0657 Å, 90.00 132.91 90.00°
Space group Cc (No. 9)
Asymmetric unit:
Ag 0.0000 0.0533 0.0000 x4
Ag 0.2955 0.2792 0.7781 x4
Ag 0.3974 0.2370 0.6262 x4
Te 0.0095 0.2759 0.7336 x4
Cl 0.0414 0.2280 0.1617 x4
Cl 0.1084 0.4577 0.8792 x4
Cl 0.1140 0.1369 0.9839 x4
Cl 0.1488 0.1920 0.7361 x4
Cl 0.2463 0.1819 0.5601 x4
Cl 0.3771 0.4466 0.9919 x4
Cl 0.3816 0.1808 0.2355 x4
Cl 0.4298 0.0843 0.0284 x4
Cl 0.4462 0.3884 0.8243 x4

Formation energy (no corrections) ... -431 meV/atom
Final energy ... -135.6 eV for the cell shown
Magnetization ... 0.0 μB/f.u.


11.
DFT (GGA-PBE) results for crystalline AgTe3Cl at its relaxed geometry.

Cell: 5.4327 5.4327 5.4327 Å, 90.00 90.00 90.00°
Space group Pm-3m (No. 221)
Asymmetric unit:
Ag 0.0000 0.0000 0.0000 x1
Te 0.0000 0.0000 0.5000 x3
Cl 0.5000 0.5000 0.5000 x1

Formation energy (no corrections) ... 524 meV/atom
Final energy ... -11.5 eV for the cell shown
Magnetization ... 0.0 μB/f.u.


12.
DFT (GGA-PBE) results for crystalline AgTeCl5 at its relaxed geometry.

Cell: 10.1824 10.0524 10.0728 Å, 90.00 117.99 90.00°
Space group C2/c (No. 15)
Asymmetric unit:
Ag 0.0000 0.0984 0.2500 x4
Te 0.2500 0.2500 0.0000 x4
Cl 0.0000 0.3026 0.7500 x4
Cl 0.1157 0.2895 0.1533 x8
Cl 0.1986 0.0009 0.9927 x8

Formation energy (no corrections) ... -506 meV/atom
Final energy ... -75.1 eV for the cell shown
Magnetization ... 0.0 μB/f.u.